No. 1
Compound: LiH2WCl
Source: the Alexandria database
Functional: PBE
Structure: relaxed

a b c (Å): 3.577 3.577 4.793
angles (deg): 90.00 90.00 90.00
Sites, in units of the cell vectors:
Li  0.000  0.000  0.000
H  0.000  0.500  0.500
H  0.500  0.000  0.500
W  0.500  0.500  0.500
Cl  0.500  0.500  0.000

Values from the calculation:
mass density	6.18	Mg/m³
symmetry	P4/mmm, No. 123
E	-4.529	eV/atom

***

No. 2
Compound: LiZr2HCl
Source: the Alexandria database
Functional: PBE
Structure: relaxed

a b c (Å): 5.066 5.066 3.345
angles (deg): 90.00 90.00 90.00
Sites, in units of the cell vectors:
Li  0.000  0.000  0.000
Zr  0.000  0.500  0.500
Zr  0.500  0.000  0.500
H  0.500  0.500  0.000
Cl  0.500  0.500  0.500

Values from the calculation:
mass density	4.37	Mg/m³
symmetry	P4/mmm, No. 123
E	-4.382	eV/atom

***

No. 3
Compound: LuH2ClO2
Source: the Alexandria database
Functional: PBE
Structure: relaxed

a b c (Å): 12.766 3.501 6.241
angles (deg): 90.00 90.00 90.00
Sites, in units of the cell vectors:
Lu  0.050  0.250  0.250
Lu  0.450  0.750  0.750
Lu  0.550  0.250  0.250
Lu  0.950  0.750  0.750
H  0.119  0.250  0.686
H  0.153  0.750  0.958
H  0.347  0.250  0.458
H  0.381  0.750  0.186
H  0.619  0.250  0.814
H  0.653  0.750  0.542
H  0.847  0.250  0.042
H  0.881  0.750  0.314
Cl  0.210  0.750  0.379
Cl  0.290  0.250  0.879
Cl  0.710  0.750  0.121
Cl  0.790  0.250  0.621
O  0.047  0.250  0.629
O  0.079  0.750  0.002
O  0.421  0.250  0.502
O  0.453  0.750  0.129
O  0.547  0.250  0.871
O  0.579  0.750  0.498
O  0.921  0.250  0.998
O  0.953  0.750  0.371

Values from the calculation:
mass density	5.82	Mg/m³
symmetry	Pnma, No. 62
E	-5.943	eV/atom